Mn4PdPt7 | PBE-GGA | optimized geometry

Computed properties:
Raw total energy in eV for the cell shown: -87.476
ρ in g/cm3: 15.37
Space-group type: No. 2
DFT formation energy in eV/f.u.: -3.32

Unit cell a=4.8963 b=5.5012 c=7.2712 alpha=78.79 beta=72.38 gamma=89.75
Last column: nearest neighbours and their distance in Å.
Atoms (fractional coordinates):
Mn1 0.1798 0.1585 0.3268  8 Pt 2.65-2.89, 1 Pd 2.72, 3 Mn 2.83-2.87
Mn2 0.3167 0.5756 0.6725  9 Pt 2.65-2.84, 3 Mn 2.83-2.88
Mn3 0.6833 0.4244 0.3275  9 Pt 2.65-2.84, 3 Mn 2.83-2.88
Mn4 0.8202 0.8415 0.6732  8 Pt 2.65-2.89, 1 Pd 2.72, 3 Mn 2.83-2.87
Pd1 0.5000 0.0000 0.0000  2 Mn 2.72, 10 Pt 2.75-2.85
Pt1 0.0002 0.2494 0.0024  3 Mn 2.72-2.75, 7 Pt 2.75-2.86, 2 Pd 2.80-2.82
Pt2 0.9998 0.7506 0.9976  3 Mn 2.72-2.75, 7 Pt 2.75-2.86, 2 Pd 2.80-2.82
Pt3 0.1795 0.6558 0.3413  6 Mn 2.65-2.89, 5 Pt 2.72-2.85, 1 Pd 2.84
Pt4 0.3233 0.0843 0.6554  6 Mn 2.65-2.84, 5 Pt 2.72-2.86, 1 Pd 2.85
Pt5 0.5000 0.5000 0.0000  4 Mn 2.75-2.77, 2 Pd 2.75, 6 Pt 2.80-2.81
Pt6 0.6767 0.9157 0.3446  6 Mn 2.65-2.84, 5 Pt 2.72-2.86, 1 Pd 2.85
Pt7 0.8205 0.3442 0.6587  6 Mn 2.65-2.89, 5 Pt 2.72-2.85, 1 Pd 2.84